[1]
Density functional theory data (GGA-PBE) for a relaxed La3Nd2Y6Pu crystal.

```
La3Nd2Y6Pu
1.0
-0.462 5.574 -2.870
-4.316 -4.448 -1.054
-4.772 3.688 10.231
Nd Pu Y La
2 1 6 3
direct
0.333 0.667 0.000 Nd
0.667 0.333 0.000 Nd
0.000 0.000 0.000 Pu
0.081 0.410 0.245 Y
0.919 0.590 0.755 Y
0.247 0.247 0.755 Y
0.753 0.753 0.245 Y
0.590 0.919 0.755 Y
0.410 0.081 0.245 Y
0.833 0.167 0.500 La
0.167 0.833 0.500 La
0.500 0.500 0.500 La
```

Properties
final energy: -6.41 eV per atom
V: 400.0 Å³ per cell
calculated formation energy: 43 meV per atom
symmetry: C2/m (12)
calculated density: 6.2 g cm⁻³



[2]
Density functional theory data (GGA-PBE) for a relaxed Rb3La2NdSe6 crystal.

```
Rb3La2NdSe6
1.0
-3.923 -1.983 6.311
0.005 -4.633 -6.139
7.779 -1.554 2.785
Rb Se La Nd
3 6 2 1
direct
0.500 0.500 0.500 Rb
0.833 0.167 0.500 Rb
0.167 0.833 0.500 Rb
0.603 0.933 0.799 Se
0.263 0.263 0.799 Se
0.067 0.397 0.201 Se
0.737 0.737 0.201 Se
0.397 0.067 0.201 Se
0.933 0.603 0.799 Se
0.333 0.667 0.000 La
0.667 0.333 0.000 La
0.000 0.000 0.000 Nd
```

Properties
final energy: -4.99 eV per atom
V: 410.2 Å³ per cell
energy relative to the elements, uncorrected: -1789 meV per atom
symmetry: C2/m (12)
calculated density: 4.7 g cm⁻³



[3]
Density functional theory data (GGA-PBE) for a relaxed RbLa2NdTe4 crystal.

```
RbLa2NdTe4
1.0
-0.908 -1.200 4.352
-4.092 -6.438 -2.629
5.174 -6.304 -0.659
La Te Nd Rb
2 4 1 1
direct
0.000 0.000 0.000 La
0.500 0.000 0.500 La
0.000 0.764 0.732 Te
0.000 0.236 0.268 Te
0.500 0.247 0.741 Te
0.500 0.753 0.259 Te
0.000 0.500 0.500 Nd
0.500 0.500 0.000 Rb
```

Properties
final energy: -4.95 eV per atom
V: 288.0 Å³ per cell
energy relative to the elements, uncorrected: -1435 meV per atom
symmetry: P2/m (10)
calculated density: 5.9 g cm⁻³



[4]
Density functional theory data (GGA-PBE) for a relaxed Rb4La3NdTe8 crystal.

```
Rb4La3NdTe8
1.0
9.439 0.000 0.000
0.000 10.130 0.476
-4.720 -4.717 6.678
Te Rb La Nd
8 4 3 1
direct
0.766 0.294 0.028 Te
0.234 0.706 0.972 Te
0.736 0.707 0.471 Te
0.264 0.293 0.529 Te
0.739 0.706 0.972 Te
0.766 0.294 0.533 Te
0.261 0.294 0.028 Te
0.234 0.706 0.467 Te
0.500 0.000 0.000 Rb
0.000 0.000 0.000 Rb
0.500 0.000 0.500 Rb
0.000 0.000 0.500 Rb
0.000 0.500 0.500 La
0.500 0.500 0.500 La
0.500 0.500 0.000 La
0.000 0.500 0.000 Nd
```

Properties
final energy: -4.51 eV per atom
V: 659.7 Å³ per cell
energy relative to the elements, uncorrected: -1471 meV per atom
symmetry: R-3m (166)
calculated density: 4.8 g cm⁻³



[5]
Density functional theory data (GGA-PBE) for a relaxed La3Nd2Rh3 crystal.

```
La3Nd2Rh3
1.0
5.839 0.452 -0.019
-2.300 5.534 0.013
-0.052 0.153 14.114
Rh Nd La
6 4 6
direct
0.875 0.625 0.433 Rh
0.185 0.510 0.250 Rh
0.872 0.642 0.065 Rh
0.808 0.483 0.755 Rh
0.119 0.367 0.935 Rh
0.128 0.362 0.566 Rh
0.400 0.722 0.068 Nd
0.408 0.717 0.430 Nd
0.590 0.283 0.936 Nd
0.973 0.854 0.614 Nd
0.669 0.449 0.249 La
0.599 0.268 0.574 La
0.034 0.126 0.383 La
0.327 0.545 0.750 La
0.030 0.127 0.118 La
0.962 0.879 0.879 La
```

Properties
final energy: -6.31 eV per atom
V: 470.7 Å³ per cell
calculated formation energy: -515 meV per atom
symmetry: P1 (1)
calculated density: 7.2 g cm⁻³



[6]
Density functional theory data (GGA-PBE) for a relaxed LaNd2Rh2 crystal.

```
LaNd2Rh2
1.0
3.994 0.000 0.000
-1.997 6.744 0.000
0.000 0.000 10.140
Nd La Rh
4 2 4
direct
0.355 0.710 0.828 Nd
0.645 0.290 0.328 Nd
0.645 0.290 0.966 Nd
0.355 0.710 0.466 Nd
0.095 0.190 0.647 La
0.905 0.810 0.147 La
0.000 0.000 0.897 Rh
0.747 0.494 0.647 Rh
0.000 0.000 0.397 Rh
0.253 0.506 0.147 Rh
```

Properties
final energy: -6.44 eV per atom
V: 273.1 Å³ per cell
calculated formation energy: -607 meV per atom
symmetry: Cmcm (63)
calculated density: 7.7 g cm⁻³
energy relative to the lowest polymorph listed for this composition: 0.00 eV per formula unit



[7]
Density functional theory data (GGA-PBE) for a relaxed LaNd2Rh9 crystal.

```
LaNd2Rh9
1.0
-3.545 2.441 3.163
0.271 -0.626 5.298
4.264 7.658 3.379
Rh Nd La
9 2 1
direct
0.667 0.667 0.998 Rh
0.333 0.333 0.002 Rh
0.582 0.582 0.754 Rh
0.083 0.582 0.754 Rh
0.500 0.500 0.500 Rh
0.418 0.917 0.246 Rh
0.917 0.418 0.246 Rh
0.418 0.418 0.246 Rh
0.582 0.083 0.754 Rh
0.861 0.861 0.417 Nd
0.139 0.139 0.583 Nd
0.000 0.000 0.000 La
```

Properties
final energy: -7.24 eV per atom
V: 219.2 Å³ per cell
calculated formation energy: -517 meV per atom
symmetry: R-3m (166)
calculated density: 10.3 g cm⁻³



[8]
Density functional theory data (GGA-PBE) for a relaxed La3NdRh crystal.

```
La3NdRh
1.0
-2.633 5.512 -2.169
-3.128 -3.437 -4.940
-6.266 -1.124 4.751
Rh La Nd
2 6 2
direct
0.173 0.681 0.701 Rh
0.674 0.672 0.201 Rh
0.425 0.856 0.952 La
0.425 0.856 0.450 La
0.422 0.325 0.201 La
0.925 0.497 0.950 La
0.925 0.497 0.452 La
0.922 0.028 0.701 La
0.432 0.331 0.701 Nd
0.932 0.022 0.201 Nd
```

Properties
final energy: -5.65 eV per atom
V: 349.2 Å³ per cell
calculated formation energy: -269 meV per atom
symmetry: Pmn2_1 (31)
calculated density: 6.3 g cm⁻³
energy relative to the lowest polymorph listed for this composition: 0.00 eV per formula unit



[9]
Density functional theory data (GGA-PBE) for a relaxed LaNd4Rh crystal.

```
LaNd4Rh
1.0
-1.153 -4.919 -3.384
7.045 -2.711 1.540
-5.933 -0.115 7.661
Nd La Rh
8 2 2
direct
0.386 0.135 0.771 Nd
0.614 0.364 0.229 Nd
0.000 0.794 0.000 Nd
0.614 0.865 0.229 Nd
0.386 0.636 0.771 Nd
0.000 0.206 0.000 Nd
0.830 0.331 0.661 Nd
0.170 0.669 0.339 Nd
0.199 0.199 0.398 La
0.801 0.801 0.602 La
0.731 0.500 0.000 Rh
0.269 0.500 0.000 Rh
```

Properties
final energy: -5.41 eV per atom
V: 391.3 Å³ per cell
calculated formation energy: -185 meV per atom
symmetry: C2/m (12)
calculated density: 6.9 g cm⁻³



[10]
Density functional theory data (GGA-PBE) for a relaxed La3NdRh crystal.

```
La3NdRh
1.0
-4.831 -1.096 -2.745
0.936 -5.556 0.572
-2.804 0.035 4.921
La Nd Rh
3 1 1
direct
0.500 0.000 0.000 La
0.000 0.500 0.000 La
0.000 0.000 0.500 La
0.500 0.500 0.500 Nd
0.000 0.000 0.000 Rh
```

Properties
final energy: -5.58 eV per atom
V: 181.7 Å³ per cell
calculated formation energy: -200 meV per atom
symmetry: Pm-3m (221)
calculated density: 6.1 g cm⁻³
energy relative to the lowest polymorph listed for this composition: 0.34 eV per formula unit



[11]
Density functional theory data (GGA-PBE) for a relaxed La6NdRh4 crystal.

```
La6NdRh4
1.0
-5.018 2.186 2.755
-3.212 -0.555 -5.222
2.469 -8.362 4.179
La Rh Nd
6 4 1
direct
0.431 0.436 0.374 La
0.548 0.122 0.659 La
0.055 0.564 0.625 La
0.499 0.992 0.995 La
0.154 0.501 0.998 La
0.886 0.878 0.340 La
0.606 0.649 0.710 Rh
0.362 0.905 0.291 Rh
0.074 0.096 0.710 Rh
0.886 0.352 0.291 Rh
0.998 0.007 0.005 Nd
```

Properties
final energy: -6.26 eV per atom
V: 309.7 Å³ per cell
calculated formation energy: -468 meV per atom
symmetry: P1 (1)
calculated density: 7.4 g cm⁻³



[12]
Density functional theory data (GGA-PBE) for a relaxed LaNd4Rh4 crystal.

```
LaNd4Rh4
1.0
5.823 0.000 0.000
0.000 9.046 0.000
0.000 0.000 9.046
Nd Rh La
8 8 2
direct
0.920 0.589 0.816 Nd
0.080 0.816 0.411 Nd
0.420 0.684 0.089 Nd
0.580 0.911 0.684 Nd
0.420 0.316 0.911 Nd
0.920 0.411 0.184 Nd
0.080 0.184 0.589 Nd
0.580 0.089 0.316 Nd
0.414 0.622 0.779 Rh
0.414 0.378 0.221 Rh
0.914 0.721 0.122 Rh
0.914 0.279 0.878 Rh
0.586 0.221 0.622 Rh
0.586 0.779 0.378 Rh
0.086 0.122 0.279 Rh
0.086 0.878 0.721 Rh
0.500 0.500 0.500 La
0.000 0.000 0.000 La
```

Properties
final energy: -6.52 eV per atom
V: 476.6 Å³ per cell
calculated formation energy: -589 meV per atom
symmetry: P4_2/n (86)
calculated density: 7.9 g cm⁻³



[13]
Density functional theory data (GGA-PBE) for a relaxed La3Nd5Rh2 crystal.

```
La3Nd5Rh2
1.0
8.140 0.000 0.000
4.070 9.392 0.420
4.070 2.897 8.944
Rh La Nd
4 6 10
direct
0.632 0.863 0.873 Rh
0.132 0.873 0.863 Rh
0.868 0.127 0.137 Rh
0.368 0.137 0.127 Rh
0.369 0.396 0.865 La
0.869 0.865 0.396 La
0.250 0.000 0.000 La
0.631 0.604 0.135 La
0.750 0.000 0.000 La
0.131 0.135 0.604 La
0.250 0.500 0.500 Nd
0.992 0.258 0.258 Nd
0.120 0.617 0.144 Nd
0.492 0.258 0.258 Nd
0.620 0.144 0.617 Nd
0.008 0.742 0.742 Nd
0.880 0.383 0.856 Nd
0.380 0.856 0.383 Nd
0.508 0.742 0.742 Nd
0.750 0.500 0.500 Nd
```

Properties
final energy: -5.58 eV per atom
V: 673.9 Å³ per cell
calculated formation energy: -246 meV per atom
symmetry: Ibam (72)
calculated density: 6.6 g cm⁻³



[14]
Density functional theory data (GGA-PBE) for a relaxed La3NdRh crystal.

```
La3NdRh
1.0
3.697 0.000 0.865
-0.524 9.489 2.253
-0.470 1.295 10.389
La Rh Nd
6 2 2
direct
0.168 0.000 0.161 La
0.184 0.366 0.131 La
0.366 0.369 0.770 La
0.832 0.000 0.839 La
0.634 0.631 0.230 La
0.816 0.634 0.869 La
0.755 0.214 0.991 Rh
0.245 0.786 0.009 Rh
0.992 0.683 0.515 Nd
0.008 0.317 0.485 Nd
```

Properties
final energy: -5.55 eV per atom
V: 356.9 Å³ per cell
calculated formation energy: -167 meV per atom
symmetry: P-1 (2)
calculated density: 6.2 g cm⁻³
energy relative to the lowest polymorph listed for this composition: 0.51 eV per formula unit



[15]
Density functional theory data (GGA-PBE) for a relaxed La2NdRh9 crystal.

```
La2NdRh9
1.0
-0.704 5.143 1.232
-0.162 1.521 5.111
8.570 3.454 2.028
Rh La Nd
9 2 1
direct
0.082 0.580 0.758 Rh
0.667 0.667 0.998 Rh
0.580 0.082 0.758 Rh
0.333 0.333 0.002 Rh
0.580 0.580 0.758 Rh
0.500 0.500 0.500 Rh
0.918 0.420 0.242 Rh
0.420 0.420 0.242 Rh
0.420 0.918 0.242 Rh
0.139 0.139 0.584 La
0.861 0.861 0.416 La
0.000 0.000 0.000 Nd
```

Properties
final energy: -7.25 eV per atom
V: 220.5 Å³ per cell
calculated formation energy: -516 meV per atom
symmetry: R-3m (166)
calculated density: 10.2 g cm⁻³



[16]
Density functional theory data (GGA-PBE) for a relaxed LaNd8Rh2 crystal.

```
LaNd8Rh2
1.0
-2.390 -1.322 -5.099
7.665 -2.473 -1.955
-4.449 -5.373 4.475
Nd La Rh
8 1 2
direct
0.297 0.596 0.596 Nd
0.929 0.665 0.921 Nd
0.071 0.079 0.335 Nd
0.500 0.258 0.742 Nd
0.500 0.742 0.258 Nd
0.929 0.921 0.665 Nd
0.071 0.335 0.079 Nd
0.703 0.404 0.404 Nd
0.500 0.000 0.000 La
0.000 0.702 0.298 Rh
0.000 0.298 0.702 Rh
```

Properties
final energy: -5.44 eV per atom
V: 351.5 Å³ per cell
calculated formation energy: -189 meV per atom
symmetry: C2/m (12)
calculated density: 7.1 g cm⁻³



[17]
Density functional theory data (GGA-PBE) for a relaxed LaNd5Rh4 crystal.

```
LaNd5Rh4
1.0
-1.604 -1.741 3.574
5.017 -5.772 -0.560
3.930 8.218 3.194
Nd Rh La
5 4 1
direct
0.835 0.080 0.670 Nd
0.835 0.590 0.670 Nd
0.165 0.920 0.330 Nd
0.500 0.500 0.000 Nd
0.165 0.410 0.330 Nd
0.300 0.800 0.601 Rh
0.000 0.253 0.000 Rh
0.700 0.200 0.399 Rh
0.000 0.747 0.000 Rh
0.500 0.000 0.000 La
```

Properties
final energy: -6.37 eV per atom
V: 282.4 Å³ per cell
calculated formation energy: -557 meV per atom
symmetry: C2/m (12)
calculated density: 7.5 g cm⁻³



[18]
Density functional theory data (GGA-PBE) for a relaxed La3Nd4Rh4 crystal.

```
La3Nd4Rh4
1.0
4.711 0.000 0.000
0.000 7.907 0.000
-2.356 -3.954 7.863
Rh Nd La
4 4 3
direct
0.205 0.705 0.409 Rh
0.500 0.814 0.000 Rh
0.500 0.186 0.000 Rh
0.795 0.295 0.591 Rh
0.331 0.547 0.663 Nd
0.669 0.885 0.337 Nd
0.669 0.453 0.337 Nd
0.331 0.115 0.663 Nd
0.904 0.904 0.809 La
0.000 0.500 0.000 La
0.096 0.096 0.191 La
```

Properties
final energy: -6.25 eV per atom
V: 292.9 Å³ per cell
calculated formation energy: -502 meV per atom
symmetry: Immm (71)
calculated density: 8.0 g cm⁻³



[19]
Density functional theory data (GGA-PBE) for a relaxed La8NdRh2 crystal.

```
La8NdRh2
1.0
5.833 0.046 0.068
-0.903 8.396 -0.413
-0.903 -3.614 7.589
Rh La Nd
2 8 1
direct
0.000 0.293 0.707 Rh
0.000 0.707 0.293 Rh
0.933 0.664 0.918 La
0.067 0.336 0.082 La
0.290 0.593 0.593 La
0.500 0.256 0.744 La
0.500 0.744 0.256 La
0.067 0.082 0.336 La
0.933 0.918 0.664 La
0.710 0.407 0.407 La
0.500 0.000 0.000 Nd
```

Properties
final energy: -5.59 eV per atom
V: 364.0 Å³ per cell
calculated formation energy: -234 meV per atom
symmetry: C2/m (12)
calculated density: 6.7 g cm⁻³



[20]
Density functional theory data (GGA-PBE) for a relaxed LaNd3Rh2 crystal.

```
LaNd3Rh2
1.0
-0.628 -0.284 4.206
7.285 -3.820 2.989
5.935 8.064 3.590
Rh Nd La
4 6 2
direct
0.624 0.127 0.624 Rh
0.124 0.625 0.126 Rh
0.876 0.375 0.874 Rh
0.376 0.873 0.376 Rh
0.190 0.184 0.437 Nd
0.687 0.687 0.938 Nd
0.936 0.940 0.189 Nd
0.313 0.313 0.062 Nd
0.064 0.060 0.811 Nd
0.810 0.816 0.563 Nd
0.438 0.435 0.689 La
0.562 0.565 0.311 La
```

Properties
final energy: -6.16 eV per atom
V: 368.6 Å³ per cell
calculated formation energy: -508 meV per atom
symmetry: C2/m (12)
calculated density: 7.0 g cm⁻³